VASP calculation (PBE-GGA) on a relaxed structure of La2Zn4AgIr.

Results
- V (Å³/atom) = 20.362

CIF file:
```
data_La2Zn4AgIr
_chemical_formula_sum 'La4 Zn8 Ag2 Ir2'
_cell_length_a 7.255
_cell_length_b 4.457
_cell_length_c 10.076
_cell_angle_alpha 90.00
_cell_angle_beta 90.00
_cell_angle_gamma 90.00
_symmetry_space_group_name_H-M 'A m m 2'
_symmetry_Int_Tables_number 38
_symmetry_space_group_name_Hall 'A 2 -2'
loop_
_atom_site_label
_atom_site_type_symbol
_atom_site_fract_x
_atom_site_fract_y
_atom_site_fract_z
La1 La 0.000 0.000 0.000
La2 La 0.500 0.000 0.149
Zn1 Zn 0.196 0.000 0.715
Zn2 Zn 0.315 0.000 0.440
Ag1 Ag 0.000 0.000 0.292
Ir1 Ir 0.500 0.000 0.869
```

=====

VASP calculation (PBE-GGA) on a relaxed structure of LiAg2Ir.

Results
- V (Å³/atom) = 15.722

CIF file:
```
data_LiAg2Ir
_chemical_formula_sum 'Li4 Ag8 Ir4'
_cell_length_a 6.313
_cell_length_b 6.313
_cell_length_c 6.313
_cell_angle_alpha 90.00
_cell_angle_beta 90.00
_cell_angle_gamma 90.00
_symmetry_space_group_name_H-M 'F -4 3 m'
_symmetry_Int_Tables_number 216
_symmetry_space_group_name_Hall 'F -4 2 3'
loop_
_atom_site_label
_atom_site_type_symbol
_atom_site_fract_x
_atom_site_fract_y
_atom_site_fract_z
Li1 Li 0.000 0.000 0.000
Ag1 Ag 0.000 0.000 0.500
Ag2 Ag 0.250 0.250 0.750
Ir1 Ir 0.250 0.250 0.250
```

=====

VASP calculation (PBE-GGA) on a relaxed structure of LiAgIr2.

Results
- V (Å³/atom) = 14.692

CIF file:
```
data_LiAgIr2
_chemical_formula_sum 'Li4 Ag4 Ir8'
_cell_length_a 6.172
_cell_length_b 6.172
_cell_length_c 6.172
_cell_angle_alpha 90.00
_cell_angle_beta 90.00
_cell_angle_gamma 90.00
_symmetry_space_group_name_H-M 'F -4 3 m'
_symmetry_Int_Tables_number 216
_symmetry_space_group_name_Hall 'F -4 2 3'
loop_
_atom_site_label
_atom_site_type_symbol
_atom_site_fract_x
_atom_site_fract_y
_atom_site_fract_z
Li1 Li 0.000 0.000 0.000
Ag1 Ag 0.250 0.250 0.250
Ir1 Ir 0.000 0.000 0.500
Ir2 Ir 0.250 0.250 0.750
```

=====

no.,E (eV/atom)
1,-3.7294
2,-3.8212
3,-5.3946